Compound: LaP2Ir
Source: the Alexandria database
Functional: GGA-PBEsol
Structure: optimized geometry

Computed properties:
* energy relative to the elements: -456.0 meV per atom
* DFT total energy: -7.144 eV per atom

Structure (extended XYZ):
```
4
Lattice="3.553 0.177 0.000 -1.424 3.260 0.000 0.000 0.000 6.489" Properties=species:S:1:pos:R:3 pbc="T T T"
Ir 1.064 1.719 3.244
P 0.000 0.000 4.478
P 0.000 0.000 2.011
La 1.064 1.719 0.000
```